P) # Y3Ag2 PBE optimized geometry
# space-group type	No. 43
# DOS at the Fermi energy	6.2	states/eV/f.u.
# crystal system	orthorhombic
# calculated volume	257.9	Å³ per cell
data_Y3Ag2
_chemical_formula_sum 'Y6 Ag4'
_cell_length_a 8.3808
_cell_length_b 6.1866
_cell_length_c 9.4576
_cell_angle_alpha 60.58
_cell_angle_beta 40.02
_cell_angle_gamma 79.40
_symmetry_space_group_name_H-M 'P 1'
_symmetry_Int_Tables_number 1
loop_
_symmetry_equiv_pos_as_xyz
'x,y,z'
loop_
_atom_site_label
_atom_site_type_symbol
_atom_site_fract_x
_atom_site_fract_y
_atom_site_fract_z
Y1 Y 0.0000 0.0000 0.0000
Y2 Y 0.2500 0.2500 0.2500
Y3 Y 0.4329 0.5703 0.3574
Y4 Y 0.5703 0.4329 0.6393
Y5 Y 0.6107 0.8926 0.6797
Y6 Y 0.8926 0.6107 0.8171
Ag1 Ag 0.1484 0.7982 0.2509
Ag2 Ag 0.4475 0.9991 0.4518
Ag3 Ag 0.7982 0.1484 0.8025
Ag4 Ag 0.9991 0.4475 0.1016

---

Q) # Y3Ag2 PBE optimized geometry
# space-group type	No. 123
# DOS at the Fermi energy	4.2	states/eV/f.u.
# crystal system	tetragonal
# calculated volume	259.3	Å³ per cell
data_Y3Ag2
_chemical_formula_sum 'Y6 Ag4'
_cell_length_a 3.6241
_cell_length_b 3.6241
_cell_length_c 19.7411
_cell_angle_alpha 90.00
_cell_angle_beta 90.00
_cell_angle_gamma 90.00
_symmetry_space_group_name_H-M 'P 1'
_symmetry_Int_Tables_number 1
loop_
_symmetry_equiv_pos_as_xyz
'x,y,z'
loop_
_atom_site_label
_atom_site_type_symbol
_atom_site_fract_x
_atom_site_fract_y
_atom_site_fract_z
Y1 Y 0.0000 0.0000 0.0000
Y2 Y 0.0000 0.0000 0.1871
Y3 Y 0.0000 0.0000 0.3731
Y4 Y 0.0000 0.0000 0.6269
Y5 Y 0.0000 0.0000 0.8129
Y6 Y 0.5000 0.5000 0.5000
Ag1 Ag 0.5000 0.5000 0.0928
Ag2 Ag 0.5000 0.5000 0.2798
Ag3 Ag 0.5000 0.5000 0.7202
Ag4 Ag 0.5000 0.5000 0.9072

---

R) # Y3Ag2 PBE optimized geometry
# space-group type	No. 12
# DOS at the Fermi energy	5.6	states/eV/f.u.
# crystal system	monoclinic
# calculated volume	130.0	Å³ per cell
data_Y3Ag2
_chemical_formula_sum 'Y3 Ag2'
_cell_length_a 5.9796
_cell_length_b 5.9796
_cell_length_c 7.9660
_cell_angle_alpha 124.44
_cell_angle_beta 124.44
_cell_angle_gamma 34.50
_symmetry_space_group_name_H-M 'P 1'
_symmetry_Int_Tables_number 1
loop_
_symmetry_equiv_pos_as_xyz
'x,y,z'
loop_
_atom_site_label
_atom_site_type_symbol
_atom_site_fract_x
_atom_site_fract_y
_atom_site_fract_z
Y1 Y 0.0000 0.0000 0.0000
Y2 Y 0.1652 0.1652 0.7546
Y3 Y 0.8348 0.8348 0.2454
Ag1 Ag 0.3808 0.3808 0.6079
Ag2 Ag 0.6192 0.6192 0.3921

---

S) # Y3Ag2 PBE optimized geometry
# space-group type	No. 164
# DOS at the Fermi energy	6.1	states/eV/f.u.
# crystal system	trigonal
# calculated volume	138.9	Å³ per cell
data_Y3Ag2
_chemical_formula_sum 'Y3 Ag2'
_cell_length_a 5.0821
_cell_length_b 5.0821
_cell_length_c 6.2087
_cell_angle_alpha 90.00
_cell_angle_beta 90.00
_cell_angle_gamma 120.00
_symmetry_space_group_name_H-M 'P 1'
_symmetry_Int_Tables_number 1
loop_
_symmetry_equiv_pos_as_xyz
'x,y,z'
loop_
_atom_site_label
_atom_site_type_symbol
_atom_site_fract_x
_atom_site_fract_y
_atom_site_fract_z
Y1 Y 0.0000 0.0000 0.0000
Y2 Y 0.3333 0.6667 0.3416
Y3 Y 0.6667 0.3333 0.6584
Ag1 Ag 0.3333 0.6667 0.8389
Ag2 Ag 0.6667 0.3333 0.1611

---

Q) is the most stable structure shown above.